A relaxed RbNpVF6 crystal, computed with PBE with a Hubbard U.

Unit cell a=8.018 b=8.018 c=8.018 alpha=120.04 beta=118.87 gamma=90.95
Atoms (fractional coordinates):
Rb: 0.292 0.042 0.250
Rb: 0.708 0.958 0.750
Np: 0.000 0.500 0.500
Np: 0.500 0.500 0.000
V: 0.000 0.000 0.500
V: 0.000 0.500 0.000
F: 0.043 0.390 0.204
F: 0.043 0.793 0.250
F: 0.043 0.839 0.653
F: 0.314 0.161 0.704
F: 0.314 0.610 0.153
F: 0.347 0.597 0.750
F: 0.653 0.403 0.250
F: 0.686 0.390 0.847
F: 0.686 0.839 0.296
F: 0.957 0.161 0.347
F: 0.957 0.207 0.750
F: 0.957 0.610 0.796

Computed properties:
VASP energy	-6.6143	eV/atom
M_tot	0.778	μB/atom

***

A relaxed Rb2NpVF6 crystal, computed with PBE with a Hubbard U.

Unit cell a=6.264 b=8.918 c=6.744 alpha=90.00 beta=90.00 gamma=90.00
Atoms (fractional coordinates):
Rb: 0.250 0.012 0.206
Rb: 0.250 0.488 0.206
Rb: 0.750 0.512 0.794
Rb: 0.750 0.988 0.794
Np: 0.250 0.250 0.695
Np: 0.750 0.750 0.305
V: 0.250 0.750 0.777
V: 0.750 0.250 0.223
F: 0.006 0.750 0.001
F: 0.009 0.750 0.549
F: 0.250 0.509 0.784
F: 0.250 0.991 0.784
F: 0.491 0.750 0.549
F: 0.494 0.750 0.001
F: 0.506 0.250 0.999
F: 0.509 0.250 0.451
F: 0.750 0.009 0.216
F: 0.750 0.491 0.216
F: 0.991 0.250 0.451
F: 0.994 0.250 0.999

Computed properties:
VASP energy	-6.0353	eV/atom
M_tot	0.779	μB/atom

***

- Look up the VASP energy of the first one.
  -6.6143 eV/atom

***

- The highest VASP energy belongs to which entry?
  Rb2NpVF6

***

- Look up the M_tot of the first one.
  0.778 μB/atom

***

- Number 1 is which compound?
  RbNpVF6